VASP calculation (PBE) on a relaxed structure of BaCr2Ru.

The calculation puts the formation energy at 0.729 eV per atom. The calculation puts the energy above the most stable polymorph in this dataset at 207 meV/atom. The symmetry is Pmmm, No. 47. For the total DFT energy (no corrections), the calculation gives -27.5 eV for the cell shown.

Geometry as CIF:
```
data_BaCr2Ru
_chemical_formula_sum 'Ba1 Cr2 Ru1'
_cell_length_a 3.106
_cell_length_b 3.530
_cell_length_c 7.490
_cell_angle_alpha 90.00
_cell_angle_beta 90.00
_cell_angle_gamma 90.00
_symmetry_space_group_name_H-M 'P 1'
_symmetry_Int_Tables_number 1
loop_
_symmetry_equiv_pos_as_xyz
'x,y,z'
loop_
_atom_site_label
_atom_site_type_symbol
_atom_site_fract_x
_atom_site_fract_y
_atom_site_fract_z
_atom_site_occupancy
Ba1 Ba 0.000 0.000 0.000 1
Cr1 Cr 0.500 0.500 0.365 1
Cr2 Cr 0.500 0.500 0.635 1
Ru1 Ru 0.000 0.000 0.500 1
```